# 1
Density functional theory data (PBE) for crystalline DyEr2Tm3Se6 at its relaxed geometry.

Cell and atoms, written as POSCAR:
```
DyEr2Tm3Se6
1.0
-1.709 3.315 -1.506
-6.651 -4.248 -1.800
-0.667 1.262 8.908
Se Dy Tm Er
6 1 3 2
Cartesian
-5.249 0.148 0.913
-7.110 -1.961 3.755
-4.963 -3.167 -1.338
-1.918 2.290 1.847
-3.779 0.181 4.689
-4.064 3.496 6.940
-0.855 1.657 -0.753
-2.980 2.903 4.401
-4.180 -0.466 -1.653
-6.048 -2.574 1.201
-2.711 -0.441 2.107
-6.317 0.770 3.495
```

Summary:
Its spin magnetization is 0.00 μB per formula unit. The calculation puts the raw formation energy at -1951 kJ/mol of formula units. Its crystal system is monoclinic. The total energy is -68.267 eV per formula unit.



# 2
Density functional theory data (PBE) for crystalline Dy4Er3TmSe8 at its relaxed geometry.

Cell and atoms, written as POSCAR:
```
Dy4Er3TmSe8
1.0
8.091 0.000 0.000
0.000 8.124 0.016
-4.045 -4.043 5.725
Se Dy Er Tm
8 4 3 1
Cartesian
-2.029 2.023 5.722
2.029 2.023 5.722
4.045 0.031 2.890
2.017 2.059 0.019
6.074 2.059 0.019
4.045 4.050 2.859
0.000 0.031 2.882
0.000 4.050 2.851
0.000 0.000 0.000
4.045 0.000 0.000
2.023 -2.021 2.863
-2.023 -2.021 2.863
4.045 4.062 0.008
-2.023 2.041 2.871
2.023 2.041 2.871
0.000 4.062 0.008
```

Summary:
Its spin magnetization is 0.00 μB per formula unit. The calculation puts the raw formation energy at -2643 kJ/mol of formula units. Its crystal system is trigonal. The total energy is -91.841 eV per formula unit.



# 3
Density functional theory data (PBE) for crystalline Dy4ErTmSe8 at its relaxed geometry.

Cell and atoms, written as POSCAR:
```
Dy4ErTmSe8
1.0
8.386 0.000 0.000
4.193 7.262 0.000
4.193 2.421 6.841
Tm Se Dy Er
1 8 4 1
Cartesian
4.193 2.421 6.836
12.579 7.262 4.987
8.386 2.254 1.737
6.145 6.135 1.737
8.386 7.411 5.110
4.193 2.421 1.838
10.627 6.135 1.737
10.611 3.557 5.110
6.161 3.557 5.110
6.286 1.212 3.422
8.386 4.842 0.864
2.100 1.212 3.422
4.193 4.838 3.422
8.386 4.842 5.979
```

Summary:
Its spin magnetization is 0.00 μB per formula unit. The calculation puts the raw formation energy at -2305 kJ/mol of formula units. Its crystal system is trigonal. The total energy is -79.212 eV per formula unit.



# 4
Density functional theory data (PBE) for crystalline Dy2ErTmSe6 at its relaxed geometry.

Cell and atoms, written as POSCAR:
```
Dy2ErTmSe6
1.0
7.162 0.000 0.000
3.581 6.202 0.000
3.581 2.068 6.454
Se Tm Dy Er
6 1 2 1
Cartesian
8.281 6.011 4.862
6.030 1.878 1.633
4.979 4.167 4.862
9.683 4.284 1.633
8.227 2.229 4.862
5.773 6.243 1.632
3.581 2.067 0.267
7.162 4.135 2.940
3.581 2.068 6.174
10.743 6.203 3.503
```

Summary:
Its spin magnetization is 0.00 μB per formula unit. The calculation puts the raw formation energy at -1782 kJ/mol of formula units. Its crystal system is trigonal. The total energy is -57.619 eV per formula unit.



# 5
Density functional theory data (PBE) for crystalline DyEr3Tm3Se8 at its relaxed geometry.

Cell and atoms, written as POSCAR:
```
DyEr3Tm3Se8
1.0
-6.763 -1.473 -4.071
1.862 -4.433 6.430
-2.219 7.664 0.913
Se Er Tm Dy
8 3 3 1
Cartesian
-5.800 2.419 0.840
-2.451 3.139 2.937
-1.320 -0.661 2.433
-2.280 1.498 -0.814
-4.840 0.260 4.087
-5.576 0.780 -2.798
-1.544 0.978 6.071
-4.669 -1.381 0.336
0.000 0.000 0.000
0.931 -2.216 3.215
-2.451 -2.953 1.180
-3.560 0.879 1.636
-4.491 3.095 -1.579
-0.179 1.616 3.672
-1.110 3.832 0.457
```

Summary:
Its spin magnetization is 0.00 μB per formula unit. The calculation puts the raw formation energy at -2585 kJ/mol of formula units. Its crystal system is trigonal. The total energy is -86.368 eV per formula unit.



# 6
Density functional theory data (PBE) for crystalline DyEr2TmSe5 at its relaxed geometry.

Cell and atoms, written as POSCAR:
```
DyEr2TmSe5
1.0
5.095 0.000 0.000
0.000 5.095 0.000
0.000 0.000 10.668
Dy Se Tm Er
1 5 1 2
Cartesian
0.000 0.000 0.000
0.000 0.000 2.644
2.547 2.547 0.000
0.000 0.000 8.024
2.547 0.000 5.334
0.000 2.547 5.334
0.000 0.000 5.334
2.547 2.547 7.027
2.547 2.547 3.641
```

Summary:
Its spin magnetization is 0.20 μB per formula unit. The calculation puts the raw formation energy at -942 kJ/mol of formula units. Its crystal system is tetragonal. The total energy is -45.389 eV per formula unit.